# NaCa2CoCl8 (PBE, relaxed)
# Magnetization = 0.14 μB/cell
# E_tot = -46.35 eV per formula unit
data_NaCa2CoCl8
_chemical_formula_sum 'Na1 Ca2 Co1 Cl8'
_cell_length_a 5.997
_cell_length_b 8.185
_cell_length_c 6.150
_cell_angle_alpha 90.00
_cell_angle_beta 90.16
_cell_angle_gamma 90.00
_symmetry_space_group_name_H-M 'P 1 2/m 1'
_symmetry_Int_Tables_number 10
loop_
_symmetry_equiv_pos_as_xyz
'x,y,z'
'-x,-y,-z'
'-x,y,-z'
'x,-y,z'
loop_
_atom_site_label
_atom_site_type_symbol
_atom_site_fract_x
_atom_site_fract_y
_atom_site_fract_z
_atom_site_occupancy
Na1 Na 0.000 0.000 0.000 1
Ca1 Ca 0.500 0.255 0.500 1
Co1 Co 0.000 0.500 0.000 1
Cl1 Cl 0.214 0.299 0.852 1
Cl2 Cl 0.226 0.500 0.305 1
Cl3 Cl 0.274 0.000 0.339 1

# CaNbCo2Cl (PBE, relaxed)
# Magnetization = 0.30 μB/cell
# E_tot = -24.46 eV per formula unit
data_CaNbCo2Cl
_chemical_formula_sum 'Ca1 Nb1 Co2 Cl1'
_cell_length_a 4.367
_cell_length_b 4.367
_cell_length_c 6.688
_cell_angle_alpha 90.00
_cell_angle_beta 90.00
_cell_angle_gamma 90.00
_symmetry_space_group_name_H-M 'P 4/m m m'
_symmetry_Int_Tables_number 123
_symmetry_space_group_name_Hall '-P 4 2'
loop_
_atom_site_label
_atom_site_type_symbol
_atom_site_fract_x
_atom_site_fract_y
_atom_site_fract_z
_atom_site_occupancy
Ca1 Ca 0.000 0.000 0.000 1
Nb1 Nb 0.000 0.000 0.500 1
Co1 Co 0.000 0.500 0.500 1
Cl1 Cl 0.500 0.500 0.000 1

Values of ΔE_f (raw), in order: -1.596; 0.734, all in eV per atom.
Values of calculated volume, in order: 25.2; 25.5, all in Å³/atom.